An optimized crystal structure of ReNiIr2, computed with PBE-GGA.

Properties
Fermi-level density of states: 1.51 states/eV/atom
Excess energy over the best structure of this formula in the dataset: 196.6 meV per atom
Energy relative to the elements: 52 meV per atom

Lattice parameters (Å, degrees): 3.7475 3.8464 3.8464 90.00 90.00 90.00
Closest atoms and distances in Å follow each position.
Element x y z (fractional)
Re1 0.5000 0.0000 0.5000  8 Ir 2.69, 4 Ni 2.72
Ir1 0.0000 0.5000 0.5000  4 Re 2.69, 4 Ni 2.69, 4 Ir 2.72
Ir2 0.0000 0.0000 0.0000  4 Re 2.69, 4 Ni 2.69, 4 Ir 2.72
Ni1 0.5000 0.5000 0.0000  8 Ir 2.69, 4 Re 2.72

An optimized crystal structure of DyMgCoRh, computed with PBE-GGA.

Properties
Fermi-level density of states: 0.63 states/eV/atom
Energy relative to the elements: -331 meV per atom

Lattice parameters (Å, degrees): 4.5783 4.5783 4.5783 60.00 60.00 60.00
Closest atoms and distances in Å follow each position.
Element x y z (fractional)
Mg1 0.0000 0.0000 0.0000  4 Co 2.80, 4 Rh 2.80
Co1 0.7500 0.7500 0.7500  4 Dy 2.80, 4 Mg 2.80
Dy1 0.5000 0.5000 0.5000  4 Co 2.80, 4 Rh 2.80
Rh1 0.2500 0.2500 0.2500  4 Dy 2.80, 4 Mg 2.80

Among the records above, which one has the highest Fermi-level density of states?
ReNiIr2